# PmZnAgPt

An optimized crystal structure of PmZnAgPt (PBE, the Alexandria database).

## Properties
Formation enthalpy at 0 K   -0.492 eV per atom
E   -4.22 eV per atom

```
PmZnAgPt
1.0
0.0000 3.4272 3.4272
3.4272 0.0000 3.4272
3.4272 3.4272 0.0000
Pm Zn Ag Pt
1 1 1 1
Direct
0.0000 0.0000 0.0000
0.5000 0.5000 0.5000
0.7500 0.7500 0.7500
0.2500 0.2500 0.2500
```